No. 1
Below is Zr5Zn2 after structural relaxation, with properties calculated at the PBE level.

Cell lengths 5.2479, 7.4708, 7.9589 Å; angles 95.85, 90.00, 110.56 degrees
Closest atoms and distances in Å follow each position.
Element x y z (fractional)
Zr: 0.6661 0.7407 0.5398  4 Zn 2.91-3.07, 6 Zr 3.03-3.22
Zr: 0.9254 0.2593 0.9602  4 Zn 2.91-3.07, 6 Zr 3.03-3.22
Zr: 0.8848 0.4558 0.3159  2 Zn 2.88-3.15, 7 Zr 2.92-3.16
Zr: 0.4290 0.5442 0.1841  2 Zn 2.88-3.15, 7 Zr 2.92-3.16
Zr: 0.1152 0.5442 0.6841  2 Zn 2.88-3.15, 7 Zr 2.92-3.16
Zr: 0.5710 0.4558 0.8159  2 Zn 2.88-3.15, 7 Zr 2.92-3.16
Zr: 0.0746 0.7407 0.0398  4 Zn 2.91-3.07, 6 Zr 3.03-3.22
Zr: 0.3339 0.2593 0.4602  4 Zn 2.91-3.07, 6 Zr 3.03-3.22
Zr: 0.2188 0.0000 0.7500  6 Zn 2.92-3.25, 6 Zr 3.09-3.24
Zr: 0.7812 0.0000 0.2500  6 Zn 2.92-3.25, 6 Zr 3.09-3.24
Zn: 0.7617 0.1501 0.6015  8 Zr 2.88-3.15, 1 Zn 3.18
Zn: 0.6117 0.8499 0.8985  8 Zr 2.88-3.15, 1 Zn 3.18
Zn: 0.2383 0.8499 0.3985  8 Zr 2.88-3.15, 1 Zn 3.18
Zn: 0.3883 0.1501 0.1015  8 Zr 2.88-3.15, 1 Zn 3.18

E_form ... -0.115 eV per atom
SG ... C2/c


No. 2
Below is ScBiIrF2 after structural relaxation, with properties calculated at the PBE level.

Cell lengths 3.9415, 6.6372, 3.9415 Å; angles 90.00, 90.00, 90.00 degrees
Closest atoms and distances in Å follow each position.
Element x y z (fractional)
Sc: 0.0000 0.0000 0.0000  4 F 1.97
Ir: 0.5000 0.5000 0.5000  4 Bi 2.79
Bi: 0.0000 0.5000 0.0000  4 Ir 2.79
F: 0.0000 0.0000 0.5000  2 Sc 1.97
F: 0.5000 0.0000 0.0000  2 Sc 1.97

Formation energy (no corrections) ... -779 kJ/mol of formula units
SG ... P4/mmm


No. 3
Below is Ce12InGe6 after structural relaxation, with properties calculated at the PBE level.

Cell lengths 8.6042, 8.6042, 8.6042 Å; angles 110.44, 110.44, 110.44 degrees
Closest atoms and distances in Å follow each position.
Element x y z (fractional)
Ce: 0.8177 0.6632 0.5079  2 Ce 2.84-3.05, 3 Ge 2.96-3.15
Ce: 0.5079 0.8177 0.6632  2 Ce 2.84-3.05, 3 Ge 2.96-3.15
Ce: 0.6632 0.5079 0.8177  2 Ce 2.84-3.05, 3 Ge 2.96-3.15
Ce: 0.1823 0.3368 0.4921  2 Ce 2.84-3.05, 3 Ge 2.96-3.15
Ce: 0.4921 0.1823 0.3368  2 Ce 2.84-3.05, 3 Ge 2.96-3.15
Ce: 0.3368 0.4921 0.1823  2 Ce 2.84-3.05, 3 Ge 2.96-3.15
Ce: 0.8818 0.7916 0.2613  2 Ce 2.84-3.05, 3 Ge 3.05-3.12
Ce: 0.2084 0.7387 0.1182  2 Ce 2.84-3.05, 3 Ge 3.05-3.12
Ce: 0.7387 0.1182 0.2084  2 Ce 2.84-3.05, 3 Ge 3.05-3.12
Ce: 0.1182 0.2084 0.7387  2 Ce 2.84-3.05, 3 Ge 3.05-3.12
Ce: 0.7916 0.2613 0.8818  2 Ce 2.84-3.05, 3 Ge 3.05-3.12
Ce: 0.2613 0.8818 0.7916  2 Ce 2.84-3.05, 3 Ge 3.05-3.12
In: 0.0000 0.0000 0.0000  12 Ce 3.52-3.53
Ge: 0.6654 0.9316 0.4387  8 Ce 2.96-3.24
Ge: 0.5613 0.3346 0.0684  8 Ce 2.96-3.24
Ge: 0.0684 0.5613 0.3346  8 Ce 2.96-3.24
Ge: 0.3346 0.0684 0.5613  8 Ce 2.96-3.24
Ge: 0.4387 0.6654 0.9316  8 Ce 2.96-3.24
Ge: 0.9316 0.4387 0.6654  8 Ce 2.96-3.24

E_form ... -0.462 eV per atom
SG ... R-3


No. 4
Below is Ba2Sc2O5 after structural relaxation, with properties calculated at the PBE level.

Cell lengths 6.3382, 6.3382, 8.2749 Å; angles 88.62, 88.62, 83.23 degrees
Closest atoms and distances in Å follow each position.
Element x y z (fractional)
Ba: 0.7131 0.8112 0.3124  6 O 2.70-2.96
Ba: 0.8112 0.7131 0.8124  6 O 2.70-2.96
Ba: 0.1888 0.2869 0.1876  6 O 2.70-2.96
Ba: 0.2869 0.1888 0.6876  6 O 2.70-2.96
Sc: 0.7649 0.2999 0.4814  4 O 1.93-2.08
Sc: 0.2999 0.7649 0.9814  4 O 1.93-2.08
Sc: 0.7001 0.2351 0.0186  4 O 1.93-2.08
Sc: 0.2351 0.7001 0.5186  4 O 1.93-2.08
O: 0.5000 0.0000 0.0000  2 Sc 2.08
O: 0.2755 0.9638 0.4061  1 Sc 1.93
O: 0.9638 0.2755 0.9061  1 Sc 1.93
O: 0.7821 0.2179 0.2500  2 Sc 1.99
O: 0.5000 0.5000 0.5000  2 Sc 1.99
O: 0.2179 0.7821 0.7500  2 Sc 1.99
O: 0.5000 0.5000 0.0000  2 Sc 1.99
O: 0.0362 0.7245 0.0939  1 Sc 1.93
O: 0.7245 0.0362 0.5939  1 Sc 1.93
O: 0.0000 0.5000 0.5000  2 Sc 2.08

Formation energy (no corrections) ... -2632 kJ/mol of formula units
SG ... C2/c


No. 5
Below is Sm2SeCl5 after structural relaxation, with properties calculated at the PBE level.

Cell lengths 4.6027, 7.1865, 7.1865 Å; angles 71.87, 71.32, 71.32 degrees
Closest atoms and distances in Å follow each position.
Element x y z (fractional)
Sm: 0.7496 0.7504 0.7504  7 Cl 2.68-2.93
Sm: 0.2504 0.2496 0.2496  7 Cl 2.68-2.93
Se: 0.0000 0.0000 0.0000  4 Sm 3.52, 12 Cl 3.91-3.93
Cl: 0.0000 0.5000 0.5000  2 Sm 2.68
Cl: 0.6653 0.5213 0.1482  3 Sm 2.79-2.93, 2 Cl 3.12
Cl: 0.3347 0.4787 0.8518  3 Sm 2.79-2.93, 2 Cl 3.12
Cl: 0.3347 0.8518 0.4787  3 Sm 2.79-2.93, 2 Cl 3.12
Cl: 0.6653 0.1482 0.5213  3 Sm 2.79-2.93, 2 Cl 3.12

Formation energy (no corrections) ... -1388 kJ/mol of formula units
SG ... Immm


No. 6
Below is YThFeCu after structural relaxation, with properties calculated at the PBE level.

Cell lengths 4.9245, 4.9245, 4.9245 Å; angles 60.00, 60.00, 60.00 degrees
Closest atoms and distances in Å follow each position.
Element x y z (fractional)
Y: 0.7500 0.7500 0.7500  4 Fe 3.02, 4 Cu 3.02
Cu: 0.0000 0.0000 0.0000  4 Th 3.02, 4 Y 3.02
Th: 0.2500 0.2500 0.2500  4 Fe 3.02, 4 Cu 3.02
Fe: 0.5000 0.5000 0.5000  4 Th 3.02, 4 Y 3.02

E_form ... -0.007 eV per atom
SG ... F-43m


No. 7
Below is LiTaBr2 after structural relaxation, with properties calculated at the PBE level.

Cell lengths 4.4819, 4.4819, 5.9500 Å; angles 84.30, 84.30, 42.67 degrees
Closest atoms and distances in Å follow each position.
Element x y z (fractional)
Br: 0.9745 0.9745 0.0261  1 Li 2.62, 3 Ta 2.72-2.78
Br: 0.5255 0.5255 0.4739  1 Li 2.62, 3 Ta 2.72-2.78
Li: 0.7500 0.7500 0.7500  2 Br 2.62
Ta: 0.2500 0.2500 0.2500  6 Br 2.72-2.78

Formation energy (no corrections) ... -35 kJ/mol of formula units
SG ... C2/m


No. 8
Below is V5Ge2H2 after structural relaxation, with properties calculated at the PBE level.

Cell lengths 3.2838, 4.7966, 6.8543 Å; angles 86.55, 90.00, 110.02 degrees
Closest atoms and distances in Å follow each position.
Element x y z (fractional)
V: 0.2951 0.5901 0.1424  2 H 1.75
V: 0.7049 0.4099 0.8576  2 H 1.75
V: 0.1473 0.2945 0.5580  1 H 1.78
V: 0.8527 0.7055 0.4420  1 H 1.78
V: 0.0000 0.0000 0.0000  2 H 1.75
Ge: 0.4214 0.8428 0.7245  3 H 2.52-2.71, 10 V 2.63-2.80
Ge: 0.5786 0.1572 0.2755  3 H 2.52-2.71, 10 V 2.63-2.80
H: 0.1459 0.2918 0.8181  4 V 1.75-1.78
H: 0.8541 0.7082 0.1819  4 V 1.75-1.78

E_tot ... -7.034 eV/atom
SG ... C2/m


No. 9
Below is LiBeGa after structural relaxation, with properties calculated at the PBE level.

Cell lengths 5.2787, 5.2787, 10.9545 Å; angles 90.00, 90.00, 120.00 degrees
Closest atoms and distances in Å follow each position.
Element x y z (fractional)
Li: 0.5000 0.0000 0.6667  4 Be 2.55, 4 Ga 2.65
Li: 0.0000 0.0000 0.5000  4 Be 2.86, 4 Ga 3.07
Li: 0.0000 0.0000 0.8333  4 Be 2.86, 4 Ga 3.07
Li: 0.0000 0.0000 0.1667  4 Be 2.86, 4 Ga 3.07
Li: 0.5000 0.5000 0.0000  4 Be 2.55, 4 Ga 2.65
Li: 0.0000 0.5000 0.3333  4 Be 2.55, 4 Ga 2.65
Be: 0.3801 0.7601 0.1667  1 Be 2.19, 4 Ga 2.35-2.37
Be: 0.7601 0.3801 0.8333  1 Be 2.19, 4 Ga 2.35-2.37
Be: 0.6199 0.3801 0.5000  1 Be 2.19, 4 Ga 2.35-2.37
Be: 0.6199 0.2399 0.1667  1 Be 2.19, 4 Ga 2.35-2.37
Be: 0.3801 0.6199 0.5000  1 Be 2.19, 4 Ga 2.35-2.37
Be: 0.2399 0.6199 0.8333  1 Be 2.19, 4 Ga 2.35-2.37
Ga: 0.5000 0.5000 0.3100  4 Be 2.35-2.37
Ga: 0.0000 0.5000 0.6433  4 Be 2.35-2.37
Ga: 0.5000 0.5000 0.6900  4 Be 2.35-2.37
Ga: 0.0000 0.5000 0.0233  4 Be 2.35-2.37
Ga: 0.5000 0.0000 0.9767  4 Be 2.35-2.37
Ga: 0.5000 0.0000 0.3567  4 Be 2.35-2.37

E_form ... 0.038 eV per atom
SG ... P6_222


No. 10
Below is ZrFe2Br after structural relaxation, with properties calculated at the PBE level.

Cell lengths 5.2251, 5.2251, 5.2251 Å; angles 143.30, 126.38, 66.74 degrees
Closest atoms and distances in Å follow each position.
Element x y z (fractional)
Br: 0.2167 0.7167 0.5000  2 Fe 2.56
Fe: 0.9917 0.9917 0.0000  2 Fe 2.40, 2 Br 2.56
Fe: 0.7917 0.2917 0.5000  2 Fe 2.40
Zr: 0.4999 0.4999 0.0000  8 Fe 2.88-3.03, 4 Br 2.97-3.02

Formation energy (no corrections) ... 132 kJ/mol of formula units
SG ... Imm2


No. 11
Below is La2TmTl3 after structural relaxation, with properties calculated at the PBE level.

Cell lengths 3.8125, 6.8005, 14.8909 Å; angles 90.00, 97.35, 90.00 degrees
Closest atoms and distances in Å follow each position.
Element x y z (fractional)
La: 0.1575 0.7500 0.3150  6 Tl 3.34-3.41
La: 0.8425 0.2500 0.6850  6 Tl 3.34-3.41
La: 0.9943 0.7500 0.9886  8 Tl 3.39-3.54, 2 La 3.42
La: 0.0057 0.2500 0.0114  8 Tl 3.39-3.54, 2 La 3.42
Tm: 0.3340 0.7500 0.6680  4 Tl 3.12
Tm: 0.6660 0.2500 0.3320  4 Tl 3.12
Tl: 0.4209 0.4889 0.8418  1 Tm 3.12, 1 Tl 3.25, 4 La 3.39-3.41
Tl: 0.5791 0.5111 0.1582  1 Tm 3.12, 1 Tl 3.25, 4 La 3.39-3.41
Tl: 0.4209 0.0111 0.8418  1 Tm 3.12, 1 Tl 3.25, 4 La 3.39-3.41
Tl: 0.5791 0.9889 0.1582  1 Tm 3.12, 1 Tl 3.25, 4 La 3.39-3.41
Tl: 0.7503 0.7500 0.5007  2 Tm 3.12, 2 La 3.34
Tl: 0.2497 0.2500 0.4993  2 Tm 3.12, 2 La 3.34

E_form ... -0.242 eV per atom
SG ... Cmcm


No. 12
Below is DyErPdPt after structural relaxation, with properties calculated at the PBE level.

Cell lengths 3.7487, 4.4904, 5.5656 Å; angles 90.00, 109.68, 90.00 degrees
Closest atoms and distances in Å follow each position.
Element x y z (fractional)
Dy: 0.8619 0.5000 0.7237  3 Pd 2.87-3.02, 4 Pt 2.97
Er: 0.1374 0.0000 0.2747  3 Pt 2.89-3.01, 4 Pd 2.97
Pd: 0.5877 0.5000 0.1754  3 Dy 2.87-3.02, 2 Pt 2.90, 4 Er 2.97
Pt: 0.4131 0.0000 0.8262  3 Er 2.89-3.01, 2 Pd 2.90, 4 Dy 2.97

E_form ... -1.123 eV per atom
SG ... Amm2